No. 1
{"formula": "Na7Cd2Hg", "functional": "PBE", "state": "relaxed", "crystal_system": "trigonal", "space_group": "No. 156", "total_energy_ev_per_fu": -11.817, "magmom_total_mub_per_fu": 0.0, "e_form_ev_per_fu": -0.5, "n_ef_per_ev_atom": 0.3606, "lattice_angstrom": [[-3.2275, -2.2710, -3.6692], [3.5043, -3.0316, 2.7507], [-8.8234, -2.0218, 9.0125]], "species": ["Na", "Na", "Na", "Na", "Na", "Na", "Na", "Cd", "Cd", "Hg"], "fractional_positions": [[0.3333, 0.6667, 0.9795], [0.6667, 0.3333, 0.5939], [0.6667, 0.3333, 0.8521], [0.3333, 0.6667, 0.4422], [0.0000, 0.0000, 0.7284], [0.6667, 0.3333, 0.1085], [0.0000, 0.0000, 0.2575], [0.3333, 0.6667, 0.7150], [0.6667, 0.3333, 0.3509], [0.0000, 0.0000, 0.9884]]}

---

No. 2
{"formula": "NaCd3Hg3", "functional": "PBE", "state": "relaxed", "crystal_system": "triclinic", "space_group": "No. 2", "total_energy_ev_per_fu": -5.498, "magmom_total_mub_per_fu": 0.0, "relative_energy_mev_per_atom": 0, "e_form_ev_per_fu": -0.5, "n_ef_per_ev_atom": 0.2448, "lattice_angstrom": [[7.4416, -0.3458, 4.1019], [2.4461, 6.4740, 5.0321], [1.6751, 1.8135, 9.0760]], "species": ["Na", "Na", "Hg", "Hg", "Hg", "Hg", "Hg", "Hg", "Cd", "Cd", "Cd", "Cd", "Cd", "Cd"], "fractional_positions": [[0.6695, 0.6688, 0.0029], [0.3305, 0.3312, 0.9971], [0.9449, 0.5715, 0.1948], [0.0551, 0.4285, 0.8052], [0.6261, 0.1929, 0.1795], [0.3739, 0.8071, 0.8205], [0.7709, 0.1338, 0.8101], [0.2291, 0.8662, 0.1899], [0.1277, 0.8937, 0.6240], [0.2109, 0.3486, 0.4422], [0.7891, 0.6514, 0.5578], [0.5177, 0.7521, 0.3717], [0.4823, 0.2479, 0.6283], [0.8723, 0.1063, 0.3760]]}

---

No. 3
{"formula": "Na3Cd3Hg5", "functional": "PBE", "state": "relaxed", "crystal_system": "hexagonal", "space_group": "No. 189", "total_energy_ev_per_fu": -8.967, "magmom_total_mub_per_fu": 0.0, "e_form_ev_per_fu": -0.8, "n_ef_per_ev_atom": 0.3591, "lattice_angstrom": [[-2.2180, 2.1145, -1.2390], [-2.6359, -6.9848, -7.2018], [-4.9393, 0.1630, 9.1202]], "species": ["Na", "Na", "Na", "Hg", "Hg", "Hg", "Hg", "Hg", "Cd", "Cd", "Cd"], "fractional_positions": [[0.0000, 0.4153, 0.4153], [0.0000, 0.5847, 0.0000], [0.0000, 0.0000, 0.5847], [0.5000, 0.0000, 0.8281], [0.5000, 0.1719, 0.1719], [0.5000, 0.6667, 0.3333], [0.5000, 0.3333, 0.6667], [0.5000, 0.8281, 0.0000], [0.5000, 0.6680, 0.6680], [0.5000, 0.0000, 0.3320], [0.5000, 0.3320, 0.0000]]}

---

No. 4
{"formula": "Na8CdHg2", "functional": "PBE", "state": "relaxed", "crystal_system": "monoclinic", "space_group": "No. 12", "total_energy_ev_per_fu": -13.354, "magmom_total_mub_per_fu": 0.0, "e_form_ev_per_fu": -1.3, "n_ef_per_ev_atom": 0.4341, "lattice_angstrom": [[-4.6079, -1.1675, -2.2167], [-3.2889, -0.5743, 7.1391], [1.8878, 8.5627, -2.2290]], "species": ["Na", "Na", "Na", "Na", "Na", "Na", "Na", "Na", "Hg", "Hg", "Cd"], "fractional_positions": [[0.3857, 0.5560, 0.7714], [0.6143, 0.4440, 0.2286], [0.6700, 0.9181, 0.3400], [0.3300, 0.0819, 0.6600], [0.0276, 0.7487, 0.0553], [0.1697, 0.2324, 0.3394], [0.8303, 0.7676, 0.6606], [0.9724, 0.2513, 0.9447], [0.1964, 0.6689, 0.3928], [0.8036, 0.3311, 0.6072], [0.5000, 0.0000, 0.0000]]}

---

No. 5
{"formula": "NaCd5Hg2", "functional": "PBE", "state": "relaxed", "crystal_system": "orthorhombic", "space_group": "No. 71", "total_energy_ev_per_fu": -7.003, "magmom_total_mub_per_fu": 0.0, "relative_energy_mev_per_atom": 0, "e_form_ev_per_fu": -0.5, "n_ef_per_ev_atom": 0.2841, "lattice_angstrom": [[3.5222, 0.0000, 0.0000], [1.7611, 7.4338, -0.4365], [1.7611, 1.8203, 7.2207]], "species": ["Hg", "Hg", "Na", "Cd", "Cd", "Cd", "Cd", "Cd"], "fractional_positions": [[0.2665, 0.2335, 0.2335], [0.7335, 0.7665, 0.7665], [0.0000, 0.0000, 0.0000], [0.6302, 0.5916, 0.1480], [0.6302, 0.1480, 0.5916], [0.0000, 0.5000, 0.5000], [0.3698, 0.4084, 0.8520], [0.3698, 0.8520, 0.4084]]}

---

No. 6
{"formula": "NaCd6Hg6", "functional": "PBE", "state": "relaxed", "crystal_system": "hexagonal", "space_group": "No. 191", "total_energy_ev_per_fu": -8.933, "magmom_total_mub_per_fu": 0.0, "relative_energy_mev_per_atom": 5, "e_form_ev_per_fu": -0.3, "n_ef_per_ev_atom": 0.3875, "lattice_angstrom": [[6.1297, -0.0005, 0.0000], [-3.0645, 5.3086, 0.0000], [0.0000, 0.0000, 9.9506]], "species": ["Cd", "Cd", "Cd", "Cd", "Cd", "Cd", "Hg", "Hg", "Hg", "Hg", "Hg", "Hg", "Na"], "fractional_positions": [[0.5000, 0.0000, 0.2503], [0.5000, 0.5000, 0.2503], [0.5000, 0.5000, 0.7497], [0.0000, 0.5000, 0.7497], [0.0000, 0.5000, 0.2503], [0.5000, 0.0000, 0.7497], [0.0000, 0.0000, 0.6514], [0.3333, 0.6667, 0.5000], [0.6667, 0.3333, 0.5000], [0.6667, 0.3333, 0.0000], [0.0000, 0.0000, 0.3486], [0.3333, 0.6667, 0.0000], [0.0000, 0.0000, 0.0000]]}

---

No. 7
{"formula": "Na2CdHg2", "functional": "PBE", "state": "relaxed", "crystal_system": "orthorhombic", "space_group": "No. 36", "total_energy_ev_per_fu": -5.172, "magmom_total_mub_per_fu": 0.0, "relative_energy_mev_per_atom": 0, "e_form_ev_per_fu": -1.0, "n_ef_per_ev_atom": 0.3051, "lattice_angstrom": [[-4.4117, -2.5733, -0.5493], [1.4007, -1.3565, -4.8948], [4.7900, -8.3930, 0.8609]], "species": ["Hg", "Hg", "Hg", "Hg", "Cd", "Cd", "Na", "Na", "Na", "Na"], "fractional_positions": [[0.9386, 0.3542, 0.2916], [0.4394, 0.6458, 0.7084], [0.4443, 0.8507, 0.2985], [0.9435, 0.1493, 0.7015], [0.4426, 0.0487, 0.9025], [0.9430, 0.9513, 0.0975], [0.9408, 0.7533, 0.4933], [0.9386, 0.5542, 0.8916], [0.4381, 0.4458, 0.1084], [0.4399, 0.2467, 0.5067]]}

---

No. 8
{"formula": "Na2Cd15Hg2", "functional": "PBE", "state": "relaxed", "crystal_system": "trigonal", "space_group": "No. 166", "total_energy_ev_per_fu": -17.574, "magmom_total_mub_per_fu": 0.0, "e_form_ev_per_fu": -0.6, "n_ef_per_ev_atom": 0.3248, "lattice_angstrom": [[-3.0288, -6.3630, -3.3228], [5.9075, -1.4357, -4.8726], [3.6611, -5.2382, 4.4565]], "species": ["Cd", "Cd", "Cd", "Cd", "Cd", "Cd", "Cd", "Cd", "Cd", "Cd", "Cd", "Cd", "Cd", "Cd", "Cd", "Na", "Na", "Hg", "Hg"], "fractional_positions": [[0.0000, 0.0000, 0.5000], [0.8394, 0.3557, 0.3557], [0.6443, 0.6443, 0.1606], [0.0000, 0.5000, 0.0000], [0.6956, 0.3044, 0.0000], [0.6956, 0.0000, 0.3044], [0.0000, 0.3044, 0.6956], [0.3044, 0.6956, 0.0000], [0.3557, 0.3557, 0.8394], [0.3044, 0.0000, 0.6956], [0.6443, 0.1606, 0.6443], [0.0000, 0.6956, 0.3044], [0.3557, 0.8394, 0.3557], [0.1606, 0.6443, 0.6443], [0.5000, 0.0000, 0.0000], [0.3344, 0.3344, 0.3344], [0.6656, 0.6656, 0.6656], [0.8955, 0.8955, 0.8955], [0.1045, 0.1045, 0.1045]]}